[1]
Cd2NiW (PBE, optimized geometry); space group = Cm, No. 8; DOS at the Fermi energy = 0.7106 states/eV/atom; formation energy = 46.2 kJ/mol of atoms
1.0
4.528 -1.398 0.000
4.528 1.398 0.000
-0.754 0.000 5.419
Cd Ni W
2 1 1
direct
0.000 0.000 0.000
0.242 0.242 0.737
0.497 0.497 0.444
0.755 0.755 0.274

---

[2]
CdNiW (PBE, optimized geometry); space group = P3m1, No. 156; DOS at the Fermi energy = 1.1589 states/eV/atom; formation energy = 32.7 kJ/mol of atoms
1.0
2.821 0.000 0.000
-1.410 2.443 0.000
0.000 0.000 6.918
Cd Ni W
1 1 1
direct
0.000 0.000 0.000
0.667 0.333 0.333
0.333 0.667 0.620